Entry from the Alexandria database: an optimized crystal structure of YTa2Au (GGA-PBEsol).

The calculation puts the total energy at -8.774 eV per atom. As for the crystal system: orthorhombic. The value obtained for the density is 13.75 Mg/m³. The formation energy is 0.19 eV/atom. The calculated volume is 19.56 Å³/atom. The value obtained for the energy relative to the lowest polymorph listed for this composition is 110 meV per atom.

```
data_YTa2Au
_symmetry_space_group_name_H-M 'I m m 2'
_symmetry_Int_Tables_number 44
_cell_length_a 3.3974
_cell_length_b 4.9765
_cell_length_c 9.2561
_cell_angle_alpha 90.00
_cell_angle_beta 90.00
_cell_angle_gamma 90.00
loop_
_symmetry_equiv_pos_as_xyz
'x,y,z'
'-x,-y,z'
'-x,y,z'
'x,-y,z'
'x+1/2,y+1/2,z+1/2'
'-x+1/2,-y+1/2,z+1/2'
'-x+1/2,y+1/2,z+1/2'
'x+1/2,-y+1/2,z+1/2'
loop_
_atom_site_label
_atom_site_fract_x
_atom_site_fract_y
_atom_site_fract_z
Y1 0.0000 0.0000 0.0000
Ta1 0.0000 0.0000 0.5081
Ta2 0.0000 0.5000 0.2318
Au1 0.0000 0.5000 0.7635
```

=====

Entry from the Alexandria database: an optimized crystal structure of MnSe3 (GGA-PBEsol).

The calculation puts the total energy at -4.827 eV per atom. As for the uncorrected formation energy: 0.501 eV/atom. As for the crystal system: cubic. The value obtained for the density is 6.33 Mg/m³. The calculated volume is 19.13 Å³/atom.

```
data_MnSe3
_symmetry_space_group_name_H-M 'P m -3 m'
_symmetry_Int_Tables_number 221
_symmetry_space_group_name_Hall '-P 4 2 3'
_cell_length_a 4.2451
_cell_length_b 4.2451
_cell_length_c 4.2451
_cell_angle_alpha 90.00
_cell_angle_beta 90.00
_cell_angle_gamma 90.00
loop_
_atom_site_label
_atom_site_fract_x
_atom_site_fract_y
_atom_site_fract_z
Mn1 0.0000 0.0000 0.0000
Se1 0.0000 0.5000 0.5000
```

=====

Entry from the Alexandria database: an optimized crystal structure of CuRhBr (GGA-PBEsol).

The calculation puts the total energy at -4.221 eV per atom. As for the uncorrected formation energy: 0.560 eV/atom. As for the crystal system: cubic. The value obtained for the density is 7.92 Mg/m³. The calculated volume is 17.21 Å³/atom. The value obtained for the energy relative to the lowest polymorph listed for this composition is 60 meV per atom.

```
data_CuRhBr
_symmetry_space_group_name_H-M 'F -4 3 m'
_symmetry_Int_Tables_number 216
_symmetry_space_group_name_Hall 'F -4 2 3'
_cell_length_a 5.9108
_cell_length_b 5.9108
_cell_length_c 5.9108
_cell_angle_alpha 90.00
_cell_angle_beta 90.00
_cell_angle_gamma 90.00
loop_
_atom_site_label
_atom_site_fract_x
_atom_site_fract_y
_atom_site_fract_z
Cu1 0.0000 0.0000 0.0000
Rh1 0.2500 0.2500 0.2500
Br1 0.0000 0.0000 0.5000
```

=====

Entry from the Alexandria database: an optimized crystal structure of Nb2BiS (GGA-PBEsol).

The calculation puts the total energy at -7.314 eV per atom. As for the uncorrected formation energy: 0.264 eV/atom. As for the crystal system: tetragonal. The value obtained for the density is 7.56 Mg/m³. The calculated volume is 23.45 Å³/atom.

```
data_Nb2BiS
_symmetry_space_group_name_H-M 'I -4 2 d'
_symmetry_Int_Tables_number 122
_symmetry_space_group_name_Hall 'I -4 2bw'
_cell_length_a 4.9074
_cell_length_b 4.9074
_cell_length_c 15.5808
_cell_angle_alpha 90.00
_cell_angle_beta 90.00
_cell_angle_gamma 90.00
loop_
_atom_site_label
_atom_site_fract_x
_atom_site_fract_y
_atom_site_fract_z
Nb1 0.1456 0.2500 0.1250
Bi1 0.0000 0.0000 0.5000
S1 0.0000 0.0000 0.0000
```